## AlCo (PBE)

Data for a geometry-optimized AlCo structure.

Size of the total moment   0.06 μB/cell
Total energy   -137.03 eV per cell

Unit cell a=4.871 b=7.833 c=7.749 alpha=90.00 beta=90.00 gamma=90.00
Space group Cmcm (No. 63)
Inequivalent atoms, fractional coordinates:
Al: 0.000 0.163 0.065 [8 per cell]
Al: 0.000 0.335 0.750 [4 per cell]
Co: 0.000 0.500 0.000 [4 per cell]
Co: 0.244 0.087 0.750 [8 per cell]

## AlCo (PBE)

Data for a geometry-optimized AlCo structure.

Size of the total moment   1.25 μB/cell
Total energy   -23.06 eV per cell

Unit cell a=3.784 b=2.742 c=4.722 alpha=90.00 beta=90.00 gamma=90.00
Space group Amm2 (No. 38)
Inequivalent atoms, fractional coordinates:
Al: 0.000 0.000 0.000 [2 per cell]
Co: 0.500 0.000 0.334 [2 per cell]